Here is a relaxed structure of Li3Mn3CrO8 from the Alexandria database. Energies are from PBE+U.

Cell lengths 5.8056, 5.8056, 9.5003 Å; angles 90.00, 90.00, 118.70 degrees
Site moments in Bohr magnetons follow the coordinates.
Fractional coordinates of all 30 atoms:
O: 0.1615 0.3152 0.4039  -0.07
O: 0.9994 0.0006 0.6766  -0.05
O: 0.0006 0.9994 0.1766  -0.05
O: 0.8385 0.6848 0.9039  -0.07
O: 0.4894 0.5106 0.6550  -0.07
O: 0.3152 0.1615 0.9039  -0.07
O: 0.6848 0.8385 0.4039  -0.07
O: 0.6675 0.3325 0.4016  -0.07
O: 0.1651 0.8349 0.4051  -0.09
O: 0.0411 0.5151 0.6586  -0.08
O: 0.5106 0.4894 0.1550  -0.07
O: 0.9589 0.4849 0.1586  -0.08
O: 0.3325 0.6675 0.9016  -0.07
O: 0.8349 0.1651 0.9051  -0.09
O: 0.4849 0.9589 0.6586  -0.08
O: 0.5151 0.0411 0.1586  -0.08
Li: 0.3455 0.1662 0.5556  0.00
Li: 0.1701 0.8299 0.0554  0.00
Li: 0.8338 0.6545 0.5556  0.00
Li: 0.6545 0.8338 0.0556  0.00
Li: 0.8299 0.1701 0.5554  0.00
Li: 0.1662 0.3455 0.0556  0.00
Mn: 0.8323 0.1677 0.2855  2.06
Mn: 0.3370 0.1709 0.2859  3.66
Mn: 0.1709 0.3370 0.7859  3.66
Mn: 0.8291 0.6630 0.2859  3.66
Mn: 0.1677 0.8323 0.7855  2.06
Mn: 0.6630 0.8291 0.7859  3.66
Cr: 0.6621 0.3379 0.0107  2.99
Cr: 0.3379 0.6621 0.5107  2.99

Summary:
magnetic moment: 23.979 μB/cell
D(E_F): 6.81 states/eV/cell
relative energy among the computed polymorphs: 0.085 eV/atom
theoretical density: 4.32 Mg/m³